Below is a relaxed structure of BaHg2Cl8, with properties calculated at the PBE-GGA level.

Properties
- total magnetization (μB/atom) = 0.000

The structure in extended XYZ format:
```
11
Lattice="-3.706 3.706 6.277 3.706 -3.706 6.277 3.706 3.706 -6.277" Properties=species:S:1:pos:R:3 pbc="T T T"
Ba 0.000 0.000 0.000
Hg 3.706 0.000 3.139
Hg 0.000 3.706 3.139
Cl 4.932 1.346 -1.449
Cl 1.346 2.479 -1.449
Cl 2.479 1.346 1.449
Cl 2.359 -1.227 7.726
Cl 2.359 1.227 4.828
Cl -1.227 2.359 4.828
Cl 1.346 4.932 1.449
Cl 1.227 2.359 7.726
```



Below is a relaxed structure of Ba2HgCl, with properties calculated at the PBE-GGA level.

Properties
- E above lowest polymorph (kJ/mol of formula units) = 9
- total magnetization (μB/atom) = 0.001

The structure in extended XYZ format:
```
4
Lattice="8.235 -2.188 0.000 8.235 2.188 0.000 -0.008 0.000 4.546" Properties=species:S:1:pos:R:3 pbc="T T T"
Ba 0.000 0.000 0.000
Ba 12.245 0.000 2.279
Hg 5.409 0.000 0.008
Cl 9.077 0.000 2.275
```



Below is a relaxed structure of Ba2HgCl, with properties calculated at the PBE-GGA level.

Properties
- E above lowest polymorph (kJ/mol of formula units) = 0
- total magnetization (μB/atom) = 0.129

The structure in extended XYZ format:
```
4
Lattice="2.352 1.358 8.311 -2.352 1.358 8.311 0.000 -2.716 8.311" Properties=species:S:1:pos:R:3 pbc="T T T"
Ba 0.000 0.000 6.189
Ba 0.000 0.000 18.744
Hg 0.000 0.000 0.000
Cl 0.000 0.000 12.467
```



Below is a relaxed structure of Ba5Hg3Cl12, with properties calculated at the PBE-GGA level.

Properties
- total magnetization (μB/atom) = 0.081

The structure in extended XYZ format:
```
80
Lattice="-9.370 9.370 9.370 9.370 -9.370 9.370 9.370 9.370 -9.370" Properties=species:S:1:pos:R:3 pbc="T T T"
Ba 0.000 0.000 0.000
Ba 4.685 4.685 -4.685
Ba 4.685 -4.685 4.685
Ba 9.370 0.000 0.000
Ba 14.055 2.343 0.000
Ba 9.370 -4.685 7.028
Ba 7.028 9.370 -4.685
Ba 7.028 0.000 4.685
Ba 4.685 7.028 0.000
Ba 9.370 4.685 2.343
Ba -4.685 4.685 4.685
Ba 0.000 9.370 0.000
Ba 0.000 0.000 9.370
Ba 4.685 4.685 4.685
Ba 0.000 4.685 7.028
Ba 4.685 2.343 9.370
Ba 2.343 9.370 4.685
Ba 2.343 0.000 14.055
Ba 0.000 14.055 2.343
Ba -4.685 7.028 9.370
Hg 4.685 2.343 0.000
Hg 9.370 4.685 -2.343
Hg 2.343 0.000 4.685
Hg 11.713 0.000 4.685
Hg 0.000 4.685 2.343
Hg 4.685 -2.343 9.370
Hg 4.685 11.713 0.000
Hg 9.370 4.685 7.028
Hg -2.343 9.370 4.685
Hg 7.028 9.370 4.685
Hg 0.000 4.685 11.713
Hg 4.685 7.028 9.370
Cl 2.718 -0.606 1.329
Cl 11.338 6.014 -5.291
Cl 8.765 -1.329 2.718
Cl 14.661 -1.967 3.356
Cl 12.088 0.606 1.329
Cl 11.338 -3.356 5.291
Cl 1.329 2.718 -0.606
Cl 12.726 4.080 -1.967
Cl 6.014 5.291 -1.967
Cl 8.041 2.718 0.606
Cl -0.606 1.329 2.718
Cl 5.291 -1.967 6.014
Cl 8.765 8.041 -2.718
Cl 5.291 1.967 3.356
Cl 8.041 -2.718 8.765
Cl 6.014 -5.291 11.338
Cl 3.356 5.291 1.967
Cl 10.699 6.653 0.606
Cl 2.718 8.765 -1.329
Cl 11.338 3.356 4.080
Cl 5.291 11.338 -3.356
Cl 8.765 1.329 6.653
Cl 1.967 3.356 5.291
Cl 2.718 0.606 8.041
Cl 6.653 8.765 1.329
Cl 7.403 6.014 4.080
Cl 0.606 8.041 2.718
Cl 4.080 -1.967 12.726
Cl -1.967 6.014 5.291
Cl 6.653 0.606 10.699
Cl -1.329 2.718 8.765
Cl 6.014 4.080 7.403
Cl 3.356 14.661 -1.967
Cl 1.329 12.088 0.606
Cl 4.080 7.403 6.014
Cl 0.606 1.329 12.088
Cl 4.080 11.338 3.356
Cl 9.976 8.041 6.653
Cl 1.329 6.653 8.765
Cl 3.356 4.080 11.338
Cl -3.356 5.291 11.338
Cl 8.041 6.653 9.976
Cl -1.967 12.726 4.080
Cl -2.718 8.765 8.041
Cl -5.291 11.338 6.014
Cl 0.606 10.699 6.653
Cl -1.967 3.356 14.661
Cl 6.653 9.976 8.041
```



Below is a relaxed structure of BaHg2Cl, with properties calculated at the PBE-GGA level.

Properties
- E above lowest polymorph (kJ/mol of formula units) = 54
- total magnetization (μB/atom) = 0.000

The structure in extended XYZ format:
```
4
Lattice="3.451 -3.459 0.000 3.451 3.459 0.000 0.000 0.000 6.073" Properties=species:S:1:pos:R:3 pbc="T T T"
Ba 0.000 0.000 0.000
Hg 3.451 0.000 1.565
Hg 3.451 0.000 4.508
Cl 0.000 0.000 3.036
```



Below is a relaxed structure of Ba2HgCl, with properties calculated at the PBE-GGA level.

Properties
- E above lowest polymorph (kJ/mol of formula units) = 43
- total magnetization (μB/atom) = 0.000

The structure in extended XYZ format:
```
8
Lattice="-4.280 4.280 4.824 4.280 -4.280 4.824 4.280 4.280 -4.824" Properties=species:S:1:pos:R:3 pbc="T T T"
Ba 6.420 1.961 -1.206
Ba 1.961 2.140 1.206
Ba -2.140 2.319 3.618
Ba 2.319 2.140 6.029
Hg 4.280 0.000 2.412
Hg 0.000 0.000 4.824
Cl 0.000 0.000 0.000
Cl 0.000 4.280 2.412
```



Below is a relaxed structure of BaHg2Cl, with properties calculated at the PBE-GGA level.

Properties
- E above lowest polymorph (kJ/mol of formula units) = 1
- total magnetization (μB/atom) = 0.000

The structure in extended XYZ format:
```
4
Lattice="6.669 -2.237 0.000 6.669 2.237 0.000 -1.494 0.000 4.223" Properties=species:S:1:pos:R:3 pbc="T T T"
Ba 0.000 0.000 0.000
Hg 2.216 0.000 3.167
Hg 9.627 0.000 1.056
Cl 5.922 0.000 2.111
```



Below is a relaxed structure of BaHgICl, with properties calculated at the PBE-GGA level.

Properties
- total magnetization (μB/atom) = 0.000

The structure in extended XYZ format:
```
4
Lattice="0.000 4.126 4.126 4.126 0.000 4.126 4.126 4.126 0.000" Properties=species:S:1:pos:R:3 pbc="T T T"
Ba 0.000 0.000 0.000
Hg 4.126 4.126 4.126
I 6.189 6.189 6.189
Cl 2.063 2.063 2.063
```



Formation energy without anion corrections across the listed records, respectively: -907; -424; -433; -3310; -335; -390; -388; -559 kJ/mol of formula units.